A plane-wave DFT calculation with PBE-GGA was carried out for a relaxed TmLu2Pt crystal.

Calculated values
total DFT energy (no corrections) = -5.40 eV/atom
D(E_F) = 1.4282 states/eV per atom
relative energy among the computed polymorphs = 117 meV/atom
formation energy from the elements = -514 meV per atom
theoretical density = 10.5 g/cm3

a b c (Å): 9.4670 9.4670 9.4670
angles (deg): 22.93 22.93 22.93
Element x y z (fractional)
Tm 0.0000 0.0000 0.0000
Lu 0.2281 0.2281 0.2281
Lu 0.7719 0.7719 0.7719
Pt 0.5000 0.5000 0.5000